Record 1
The following is a PBE-GGA calculation of crystalline RhC3 at its relaxed geometry, from Alexandria.

Cell lengths 2.649, 3.753, 8.847 Å; angles 90.00, 90.00, 90.00 degrees
Positions (direct):
C (0.000, 0.500, 0.122)
C (0.000, 0.000, 0.778)
C (0.500, 0.000, 0.538)
C (0.000, 0.000, 0.622)
C (0.000, 0.500, 0.278)
C (0.500, 0.500, 0.038)
Rh (0.500, 0.500, 0.436)
Rh (0.500, 0.000, 0.936)

Output
VASP energy: -7.998 eV per atom
E_form: 0.76 eV per atom
ρ: 5247 kg/m3
total magnetic moment: 0.0000 μB/atom
space-group type: Amm2 (38)

***

Record 2
The following is a PBE-GGA calculation of crystalline Dy3HoEr5 at its relaxed geometry, from Alexandria.

Cell lengths 9.386, 9.386, 11.437 Å; angles 52.81, 52.81, 73.66 degrees
Positions (direct):
Dy (0.697, 0.697, 0.813)
Er (0.510, 0.510, 0.770)
Er (0.260, 0.740, 0.000)
Er (0.185, 0.185, 0.037)
Er (0.654, 0.151, 0.749)
Er (0.740, 0.260, 0.000)
Er (0.815, 0.815, 0.963)
Er (0.346, 0.849, 0.251)
Ho (0.148, 0.148, 0.601)
Dy (0.000, 0.000, 0.500)
Er (0.151, 0.654, 0.749)
Dy (0.303, 0.303, 0.187)
Dy (0.342, 0.342, 0.636)
Ho (0.852, 0.852, 0.399)
Dy (0.658, 0.658, 0.364)
Er (0.849, 0.346, 0.251)
Dy (0.000, 0.000, 0.000)
Er (0.490, 0.490, 0.230)

Output
VASP energy: -4.043 eV per atom
E_form: 0.53 eV per atom
ρ: 7801 kg/m3
total magnetic moment: 0.0000 μB/atom
space-group type: C2/m (12)

***

Record 3
The following is a PBE-GGA calculation of crystalline Ca2ScHg at its relaxed geometry, from Alexandria.

Cell lengths 10.805, 10.805, 10.805 Å; angles 19.83, 19.83, 19.83 degrees
Each line ends with the local moment (μB).
Positions (direct):
Sc (0.764, 0.764, 0.764)  0.22
Ca (0.006, 0.006, 0.006)  0.03
Hg (0.495, 0.495, 0.495)  0.00
Ca (0.236, 0.236, 0.236)  0.00

Output
VASP energy: -2.730 eV per atom
E_form: -0.07 eV per atom
ρ: 4260 kg/m3
total magnetic moment: 0.1234 μB/atom
space-group type: R3m (160)

***

Record 4
The following is a PBE-GGA calculation of crystalline GdTlPt2 at its relaxed geometry, from Alexandria.

Cell lengths 3.696, 3.696, 6.145 Å; angles 90.00, 90.00, 90.00 degrees
Each line ends with the local moment (μB).
Positions (direct):
Pt (0.000, 0.000, 0.246)  -0.02
Pt (0.000, 0.000, 0.754)  -0.02
Gd (0.500, 0.500, 0.000)  6.96
Tl (0.500, 0.500, 0.500)  0.00

Output
VASP energy: -7.778 eV per atom
E_form: -0.65 eV per atom
ρ: 14870 kg/m3
total magnetic moment: 1.7490 μB/atom
space-group type: P4/mmm (123)

***

Record 5
The following is a PBE-GGA calculation of crystalline TmNiH at its relaxed geometry, from Alexandria.

Cell lengths 3.546, 3.640, 3.640 Å; angles 120.00, 90.00, 90.00 degrees
Positions (direct):
H (0.167, 0.667, 0.333)
Ni (0.166, 0.000, 0.000)
Tm (0.666, 0.333, 0.667)

Output
VASP energy: -4.729 eV per atom
ρ: 9330 kg/m3
total magnetic moment: 0.0000 μB/atom
space-group type: P-6m2 (187)

***

Record 6
The following is a PBE-GGA calculation of crystalline LuTiNiAu at its relaxed geometry, from Alexandria.

Cell lengths 4.668, 4.668, 4.668 Å; angles 60.00, 60.00, 60.00 degrees
Each line ends with the local moment (μB).
Positions (direct):
Au (0.000, 0.000, 0.000)  -0.01
Lu (0.750, 0.750, 0.750)  -0.04
Ni (0.500, 0.500, 0.500)  0.03
Ti (0.250, 0.250, 0.250)  -0.44

Output
VASP energy: -5.742 eV per atom
E_form: -0.37 eV per atom
ρ: 11048 kg/m3
total magnetic moment: 0.1413 μB/atom
space-group type: F-43m (216)

***

Record 7
The following is a PBE-GGA calculation of crystalline RbMg2Cd2 at its relaxed geometry, from Alexandria.

Cell lengths 5.262, 5.262, 6.931 Å; angles 67.69, 67.69, 90.00 degrees
Positions (direct):
Mg (0.366, 0.366, 0.267)
Cd (0.750, 0.250, 0.500)
Rb (0.000, 0.000, 0.000)
Mg (0.634, 0.634, 0.733)
Cd (0.250, 0.750, 0.500)

Output
VASP energy: -1.132 eV per atom
E_form: 0.07 eV per atom
ρ: 3681 kg/m3
total magnetic moment: 0.0000 μB/atom
space-group type: I4/mmm (139)

***

Record 8
The following is a PBE-GGA calculation of crystalline Er4Ir2Au at its relaxed geometry, from Alexandria.

Cell lengths 7.474, 7.477, 7.482 Å; angles 109.24, 109.23, 109.88 degrees
Positions (direct):
Er (0.000, 0.253, 0.391)
Er (0.860, 0.612, 0.110)
Er (0.387, 0.498, 0.247)
Au (0.999, 0.000, 0.000)
Er (0.390, 0.001, 0.253)
Er (0.748, 0.137, 0.746)
Ir (0.125, 0.505, 0.880)
Er (0.863, 0.610, 0.610)
Er (0.251, 0.140, 0.754)
Au (0.249, 0.750, 0.500)
Ir (0.755, 0.875, 0.379)
Ir (0.495, 0.375, 0.620)
Ir (0.625, 0.245, 0.121)
Er (0.503, 0.750, 0.890)

Output
VASP energy: -6.414 eV per atom
E_form: -0.81 eV per atom
ρ: 12892 kg/m3
total magnetic moment: 0.0000 μB/atom
space-group type: Cc (9)

***

Record 9
The following is a PBE-GGA calculation of crystalline LaSi at its relaxed geometry, from Alexandria.

Cell lengths 13.062, 4.666, 6.014 Å; angles 90.00, 90.00, 90.00 degrees
Positions (direct):
La (0.193, 0.000, 0.184)
La (0.693, 0.500, 0.684)
La (0.500, 0.000, 0.289)
Si (0.350, 0.500, 0.194)
Si (0.150, 0.000, 0.694)
Si (0.850, 0.000, 0.694)
La (0.000, 0.500, 0.789)
La (0.307, 0.500, 0.684)
Si (0.000, 0.000, 0.457)
Si (0.500, 0.500, 0.957)
La (0.807, 0.000, 0.184)
Si (0.650, 0.500, 0.194)

Output
VASP energy: -5.669 eV per atom
ΔE_f (raw): -494 meV per atom
ρ: 4539 kg/m3
total magnetic moment: 0.0000 μB/atom
space-group type: Imm2 (44)

***

Record 10
The following is a PBE-GGA calculation of crystalline Hf2Zr at its relaxed geometry, from Alexandria.

Cell lengths 5.853, 5.853, 5.853 Å; angles 60.00, 60.00, 60.00 degrees
Each line ends with the local moment (μB).
Positions (direct):
Hf (0.625, 0.625, 0.625)  0.58
Zr (0.000, 0.000, 0.000)  0.70
Zr (0.250, 0.250, 0.250)  0.70
Hf (0.125, 0.625, 0.625)  0.58
Hf (0.625, 0.125, 0.625)  0.58
Hf (0.625, 0.625, 0.125)  0.58

Output
VASP energy: -9.171 eV per atom
E_form: 0.31 eV per atom
ρ: 10497 kg/m3
total magnetic moment: 0.9719 μB/atom
space-group type: Fd-3m (227)

***

Record 11
The following is a PBE-GGA calculation of crystalline RbLaHfNb2 at its relaxed geometry, from Alexandria.

Cell lengths 5.080, 5.591, 5.080 Å; angles 90.00, 90.00, 90.00 degrees
Positions (direct):
Nb (0.500, 0.000, 0.000)
Hf (0.500, 0.500, 0.500)
La (0.000, 0.000, 0.000)
Nb (0.000, 0.000, 0.500)
Rb (0.000, 0.500, 0.000)

Output
VASP energy: -5.208 eV per atom
E_form: 1.99 eV per atom
ρ: 6776 kg/m3
total magnetic moment: 0.0000 μB/atom
space-group type: P4/mmm (123)

***

Record 12
The following is a PBE-GGA calculation of crystalline Tb3Zn2Hg3 at its relaxed geometry, from Alexandria.

Cell lengths 3.953, 5.262, 10.038 Å; angles 111.53, 101.36, 90.00 degrees
Positions (direct):
Hg (0.630, 0.184, 0.261)
Tb (0.000, 0.000, 0.000)
Hg (0.500, 0.500, 0.000)
Zn (0.240, 0.316, 0.479)
Tb (0.851, 0.281, 0.701)
Hg (0.370, 0.816, 0.739)
Zn (0.760, 0.684, 0.521)
Tb (0.149, 0.719, 0.299)

Output
VASP energy: -2.528 eV per atom
E_form: -0.36 eV per atom
ρ: 10580 kg/m3
total magnetic moment: 0.0000 μB/atom
space-group type: C2/m (12)

***

Repeat the second record exactly.
The following is a PBE-GGA calculation of crystalline Dy3HoEr5 at its relaxed geometry, from Alexandria.

Cell lengths 9.386, 9.386, 11.437 Å; angles 52.81, 52.81, 73.66 degrees
Positions (direct):
Dy (0.697, 0.697, 0.813)
Er (0.510, 0.510, 0.770)
Er (0.260, 0.740, 0.000)
Er (0.185, 0.185, 0.037)
Er (0.654, 0.151, 0.749)
Er (0.740, 0.260, 0.000)
Er (0.815, 0.815, 0.963)
Er (0.346, 0.849, 0.251)
Ho (0.148, 0.148, 0.601)
Dy (0.000, 0.000, 0.500)
Er (0.151, 0.654, 0.749)
Dy (0.303, 0.303, 0.187)
Dy (0.342, 0.342, 0.636)
Ho (0.852, 0.852, 0.399)
Dy (0.658, 0.658, 0.364)
Er (0.849, 0.346, 0.251)
Dy (0.000, 0.000, 0.000)
Er (0.490, 0.490, 0.230)

Output
VASP energy: -4.043 eV per atom
E_form: 0.53 eV per atom
ρ: 7801 kg/m3
total magnetic moment: 0.0000 μB/atom
space-group type: C2/m (12)